Record 1
## CaYZn2Si (PBE)

Data for a relaxed CaYZn2Si crystal.

Properties
- Total magnetic moment: 0.502 μB per formula unit
- SG: P4/mmm
- Raw total energy: -10.62 eV per formula unit
- Formation energy from raw total energies: 1163.1 meV/atom
- DOS(E_F): 5.10 states/eV/f.u.

Cell: 5.315 6.257 5.315 Å, 90.00 90.00 90.00°
Each line ends with the local moment (μB).
Sites, in units of the cell vectors:
1 Y 0.000 0.000 0.000  0.03
2 Zn 0.000 0.000 0.500  0.00
3 Zn 0.500 0.000 0.000  -0.01
4 Si 0.500 0.500 0.500  0.11
5 Ca 0.000 0.500 0.000  0.05

Record 2
## Ce2SnHg (PBE)

Data for a relaxed Ce2SnHg crystal.

Properties
- Total magnetic moment: 2.282 μB per formula unit
- SG: Fm-3m
- Energy of formation: -0.43 eV per atom
- Raw total energy: -17.88 eV per formula unit
- DOS(E_F): 30.03 states/eV/f.u.

Cell: 5.439 5.441 5.441 Å, 60.00 59.99 59.99°
Each line ends with the local moment (μB).
Sites, in units of the cell vectors:
1 Hg 0.250 0.250 0.250  0.02
2 Ce 0.500 0.500 0.500  0.90
3 Ce 0.000 0.000 0.000  0.90
4 Sn 0.750 0.750 0.750  -0.02

Record 3
## Ce2NpGeN5 (PBE)

Data for a relaxed Ce2NpGeN5 crystal.

Properties
- Total magnetic moment: 3.756 μB per formula unit
- SG: Cmc2_1
- Raw total energy: -79.65 eV per formula unit
- Formation energy from raw total energies: -955.5 meV/atom
- DOS(E_F): 11.39 states/eV/f.u.

Cell: 3.390 7.255 10.434 Å, 90.00 90.00 103.51°
Each line ends with the local moment (μB).
Sites, in units of the cell vectors:
1 Ce 0.864 0.729 0.788  0.64
2 Ce 0.117 0.233 0.703  0.68
3 Ce 0.136 0.271 0.288  0.64
4 Ce 0.883 0.767 0.203  0.68
5 Np 0.790 0.580 0.504  2.54
6 Np 0.210 0.420 0.004  2.54
7 Ge 0.500 0.001 0.972  0.01
8 Ge 0.500 0.999 0.472  0.01
9 N 0.368 0.736 0.012  -0.06
10 N 0.700 0.399 0.864  -0.12
11 N 0.495 0.990 0.792  -0.03
12 N 0.286 0.573 0.645  -0.12
13 N 0.954 0.908 0.544  -0.04
14 N 0.632 0.264 0.512  -0.06
15 N 0.300 0.601 0.364  -0.12
16 N 0.505 0.010 0.292  -0.03
17 N 0.714 0.427 0.145  -0.12
18 N 0.046 0.092 0.044  -0.04

Record 4
## SrPr2Lu (PBE)

Data for a relaxed SrPr2Lu crystal.

Properties
- Total magnetic moment: 0.000 μB per formula unit
- SG: R-3m
- Energy of formation: 0.19 eV per atom
- Raw total energy: -15.00 eV per formula unit
- DOS(E_F): 5.74 states/eV/f.u.
- E above lowest polymorph: 0.099 eV per atom

Cell: 3.670 3.670 13.289 Å, 82.06 82.06 60.00°
Sites, in units of the cell vectors:
1 Pr 0.094 0.094 0.717
2 Pr 0.906 0.906 0.283
3 Sr 0.000 0.000 0.000
4 Lu 0.500 0.500 0.500

Record 5
## VAg3Os (PBE)

Data for a relaxed VAg3Os crystal.

Properties
- Total magnetic moment: 4.520 μB per formula unit
- SG: Pm-3m
- Energy of formation: 2.10 eV per atom
- Raw total energy: -18.39 eV per formula unit
- DOS(E_F): 7.24 states/eV/f.u.
- E above lowest polymorph: 0.317 eV per atom

Cell: 4.756 4.756 4.756 Å, 90.00 90.00 90.00°
Each line ends with the local moment (μB).
Sites, in units of the cell vectors:
1 Os 0.500 0.500 0.500  1.83
2 Ag 0.000 0.500 0.000  0.08
3 Ag 0.000 0.000 0.500  0.08
4 Ag 0.500 0.000 0.000  0.08
5 V 0.000 0.000 0.000  2.21

Record 6
## NdScNi (PBE)

Data for a relaxed NdScNi crystal.

Properties
- Total magnetic moment: 0.000 μB per formula unit
- SG: P4/nmm
- Energy of formation: -0.30 eV per atom
- Raw total energy: -17.77 eV per formula unit
- DOS(E_F): 3.21 states/eV/f.u.
- E above lowest polymorph: 0.000 eV per atom

Cell: 4.555 4.555 6.505 Å, 90.00 90.00 90.00°
Sites, in units of the cell vectors:
1 Nd 0.000 0.500 0.884
2 Nd 0.500 0.000 0.116
3 Ni 0.000 0.500 0.295
4 Ni 0.500 0.000 0.705
5 Sc 0.500 0.500 0.500
6 Sc 0.000 0.000 0.500

Record 7
## LiNdThHg (PBE)

Data for a relaxed LiNdThHg crystal.

Properties
- Total magnetic moment: 0.000 μB per formula unit
- SG: F-43m
- Energy of formation: -0.06 eV per atom
- Raw total energy: -14.64 eV per formula unit
- DOS(E_F): 4.48 states/eV/f.u.

Cell: 5.362 5.362 5.362 Å, 60.00 60.00 60.00°
Sites, in units of the cell vectors:
1 Nd 0.250 0.250 0.250
2 Hg 0.500 0.500 0.500
3 Th 0.750 0.750 0.750
4 Li 0.000 0.000 0.000

Record 8
## ScFePd6 (PBE)

Data for a relaxed ScFePd6 crystal.

Properties
- Total magnetic moment: 4.169 μB per formula unit
- SG: P4/mmm
- Energy of formation: -0.46 eV per atom
- Raw total energy: -49.66 eV per formula unit
- DOS(E_F): 6.30 states/eV/f.u.

Cell: 3.948 3.948 7.909 Å, 90.00 90.00 90.00°
Each line ends with the local moment (μB).
Sites, in units of the cell vectors:
1 Sc 0.000 0.000 0.000  -0.04
2 Fe 0.000 0.000 0.500  3.34
3 Pd 0.500 0.500 0.000  0.07
4 Pd 0.500 0.500 0.500  0.22
5 Pd 0.500 0.000 0.258  0.17
6 Pd 0.500 0.000 0.742  0.17
7 Pd 0.000 0.500 0.258  0.17
8 Pd 0.000 0.500 0.742  0.17

Record 9
## TcPdRh2 (PBE)

Data for a relaxed TcPdRh2 crystal.

Properties
- Total magnetic moment: 0.000 μB per formula unit
- SG: P4/mmm
- Energy of formation: -0.09 eV per atom
- Raw total energy: -30.61 eV per formula unit
- DOS(E_F): 3.64 states/eV/f.u.
- E above lowest polymorph: 0.000 eV per atom

Cell: 2.728 2.728 7.801 Å, 90.00 90.00 90.00°
Sites, in units of the cell vectors:
1 Tc 0.000 0.000 0.000
2 Pd 0.000 0.000 0.500
3 Rh 0.500 0.500 0.237
4 Rh 0.500 0.500 0.763

Record 10
## Li2MgAg4 (PBE)

Data for a relaxed Li2MgAg4 crystal.

Properties
- Total magnetic moment: 0.000 μB per formula unit
- SG: I4/mmm
- Energy of formation: -0.08 eV per atom
- Raw total energy: -17.42 eV per formula unit
- DOS(E_F): 0.88 states/eV/f.u.
- E above lowest polymorph: 0.031 eV per atom

Cell: 5.544 5.544 5.544 Å, 103.20 112.69 112.69°
Sites, in units of the cell vectors:
1 Li 0.500 0.500 0.000
2 Li 0.500 0.000 0.500
3 Mg 0.000 0.000 0.000
4 Ag 0.500 0.000 0.000
5 Ag 0.500 0.500 0.500
6 Ag 0.000 0.000 0.500
7 Ag 0.000 0.500 0.000

Record 11
## Ag4Se5 (PBE)

Data for a relaxed Ag4Se5 crystal.

Properties
- Total magnetic moment: 0.000 μB per formula unit
- SG: I4/mmm
- Raw total energy: -26.53 eV per formula unit
- Formation energy from raw total energies: 255.3 meV/atom
- DOS(E_F): 2.04 states/eV/f.u.
- E above lowest polymorph: 0.000 eV per atom

Cell: 7.431 7.431 7.431 Å, 93.24 93.24 152.48°
Sites, in units of the cell vectors:
1 Ag 0.343 0.000 0.343
2 Ag 0.657 0.000 0.657
3 Ag 0.000 0.343 0.343
4 Ag 0.000 0.657 0.657
5 Se 0.000 0.000 0.000
6 Se 0.321 0.321 0.642
7 Se 0.679 0.679 0.358
8 Se 0.679 0.321 0.000
9 Se 0.321 0.679 0.000

Record 12
## NaYNp2Se4 (PBE)

Data for a relaxed NaYNp2Se4 crystal.

Properties
- Total magnetic moment: 9.110 μB per formula unit
- SG: P2/m
- Raw total energy: -58.18 eV per formula unit
- Formation energy from raw total energies: -1321.9 meV/atom
- DOS(E_F): 19.78 states/eV/f.u.

Cell: 4.119 7.164 7.154 Å, 109.25 90.00 90.00°
Each line ends with the local moment (μB).
Sites, in units of the cell vectors:
1 Na 0.500 0.500 0.000  0.00
2 Y 0.000 0.000 0.000  0.10
3 Np 0.500 0.000 0.500  4.11
4 Np 0.000 0.500 0.500  4.19
5 Se 0.500 0.248 0.248  -0.05
6 Se 0.500 0.752 0.752  -0.05
7 Se 0.000 0.246 0.748  -0.06
8 Se 0.000 0.754 0.252  -0.06